Compound: PrDyMnAl
Source: Alexandria
Functional: PBE
Structure: relaxed

a = 5.183 Å, b = 5.183 Å, c = 5.183 Å
α = 60.00°, β = 60.00°, γ = 60.00°
Sites, in units of the cell vectors:
Pr: 0.750 0.750 0.750
Mn: 0.000 0.000 0.000
Al: 0.500 0.500 0.500
Dy: 0.250 0.250 0.250

Calculated values
For the density of states at the Fermi level, the calculation gives 1.129 states/eV per atom. Its formation energy is -0.02 eV per atom. Its density is 6.50 g cm⁻³.

Compound: Dy2MnAl2Ru5
Source: Alexandria
Functional: PBE
Structure: relaxed

a = 3.282 Å, b = 10.002 Å, c = 10.002 Å
α = 90.00°, β = 90.00°, γ = 90.00°
Sites, in units of the cell vectors:
Dy: 0.000 0.671 0.171
Dy: 0.000 0.329 0.829
Dy: 0.000 0.171 0.329
Dy: 0.000 0.829 0.671
Mn: 0.000 0.000 0.000
Mn: 0.000 0.500 0.500
Al: 0.000 0.129 0.629
Al: 0.000 0.871 0.371
Al: 0.000 0.629 0.871
Al: 0.000 0.371 0.129
Ru: 0.500 0.193 0.063
Ru: 0.500 0.807 0.937
Ru: 0.500 0.063 0.807
Ru: 0.500 0.693 0.437
Ru: 0.500 0.937 0.193
Ru: 0.500 0.307 0.563
Ru: 0.500 0.563 0.693
Ru: 0.500 0.437 0.307
Ru: 0.500 0.500 0.000
Ru: 0.500 0.000 0.500

Calculated values
For the density of states at the Fermi level, the calculation gives 0.745 states/eV per atom. Its formation energy is -0.28 eV per atom. Its density is 9.50 g cm⁻³.

Compound: DyMnAlS4
Source: Alexandria
Functional: PBE
Structure: relaxed

a = 7.501 Å, b = 7.515 Å, c = 7.515 Å
α = 60.54°, β = 60.06°, γ = 60.06°
Sites, in units of the cell vectors:
Dy: 0.000 0.000 0.000
Dy: 0.000 0.500 0.500
Mn: 0.500 0.000 0.500
Mn: 0.000 0.000 0.500
Al: 0.630 0.620 0.120
Al: 0.370 0.380 0.880
S: 0.744 0.766 0.747
S: 0.256 0.753 0.734
S: 0.744 0.247 0.266
S: 0.256 0.234 0.253
S: 0.254 0.753 0.253
S: 0.739 0.753 0.253
S: 0.261 0.247 0.747
S: 0.746 0.247 0.747

Calculated values
For the density of states at the Fermi level, the calculation gives 0.118 states/eV per atom. The formation energy from raw total energies is -1.219 eV/atom. Its density is 4.11 g cm⁻³.

Compound: Dy3MnAlS7
Source: Alexandria
Functional: PBE
Structure: relaxed

a = 9.503 Å, b = 9.503 Å, c = 6.161 Å
α = 90.00°, β = 90.00°, γ = 120.00°
Sites, in units of the cell vectors:
Dy: 0.783 0.158 0.725
Dy: 0.375 0.217 0.725
Dy: 0.842 0.625 0.725
Dy: 0.217 0.842 0.225
Dy: 0.625 0.783 0.225
Dy: 0.158 0.375 0.225
Mn: 0.000 0.000 0.571
Mn: 0.000 0.000 0.071
Al: 0.667 0.333 0.151
Al: 0.333 0.667 0.651
S: 0.876 0.097 0.325
S: 0.221 0.124 0.325
S: 0.903 0.779 0.325
S: 0.124 0.903 0.825
S: 0.779 0.876 0.825
S: 0.097 0.221 0.825
S: 0.913 0.434 0.999
S: 0.521 0.087 0.999
S: 0.566 0.479 0.999
S: 0.087 0.566 0.499
S: 0.479 0.913 0.499
S: 0.434 0.521 0.499
S: 0.667 0.333 0.514
S: 0.333 0.667 0.014

Calculated values
For the density of states at the Fermi level, the calculation gives 0.175 states/eV per atom. The formation energy from raw total energies is -1.579 eV/atom. Its density is 5.47 g cm⁻³.

Compound: DyScMnAl
Source: Alexandria
Functional: PBE
Structure: relaxed

a = 4.918 Å, b = 4.918 Å, c = 4.918 Å
α = 60.00°, β = 60.00°, γ = 60.00°
Sites, in units of the cell vectors:
Sc: 0.000 0.000 0.000
Mn: 0.250 0.250 0.250
Al: 0.750 0.750 0.750
Dy: 0.500 0.500 0.500

Calculated values
For the density of states at the Fermi level, the calculation gives 1.247 states/eV per atom. Its formation energy is -0.10 eV per atom. Its density is 5.71 g cm⁻³.

Compound: DyMnAlSi2
Source: Alexandria
Functional: PBE
Structure: relaxed

a = 3.883 Å, b = 3.883 Å, c = 6.087 Å
α = 108.60°, β = 108.60°, γ = 90.00°
Sites, in units of the cell vectors:
Dy: 0.000 0.000 0.000
Mn: 0.250 0.750 0.500
Al: 0.750 0.250 0.500
Si: 0.610 0.610 0.219
Si: 0.390 0.390 0.781

Calculated values
For the density of states at the Fermi level, the calculation gives 0.790 states/eV per atom. The formation energy from raw total energies is -0.535 eV/atom. Its density is 6.09 g cm⁻³.